(1)
ZrSi2Se | Alexandria | SCAN | PBEsol geometry; ρ = 5.3 g/cm3; raw formation energy = 184 meV/atom
1.0
0.000 3.278 3.278
3.278 0.000 3.278
3.278 3.278 0.000
Zr Si Se
1 2 1
Cartesian
0.000 0.000 0.000 Zr
1.639 1.639 1.639 Si
3.278 3.278 3.278 Si
4.917 4.917 4.917 Se

(2)
Zr2SiSe | Alexandria | SCAN | PBEsol geometry; ρ = 6.6 g/cm3; polymorph energy (0 for the lowest one) = 0.73 eV per formula unit; raw formation energy = -667 meV/atom
1.0
0.000 3.313 3.313
3.313 0.000 3.313
3.313 3.313 0.000
Zr Si Se
2 1 1
Cartesian
1.656 1.656 1.656 Zr
4.969 4.969 4.969 Zr
0.000 0.000 0.000 Si
3.313 3.313 3.313 Se

(3)
ZrSiSe | Alexandria | SCAN | PBEsol geometry; ρ = 6.1 g/cm3; raw formation energy = -1167 meV/atom
1.0
3.594 0.000 0.000
0.000 3.594 0.000
0.000 0.000 8.337
Zr Si Se
2 2 2
Cartesian
0.899 0.899 2.026 Zr
2.696 2.696 6.311 Zr
0.899 2.696 4.168 Si
2.696 0.899 4.168 Si
0.899 0.899 7.326 Se
2.696 2.696 1.010 Se

(4)
ZrSi2Se | Alexandria | SCAN | PBEsol geometry; ρ = 5.3 g/cm3; raw formation energy = 109 meV/atom
1.0
1.624 0.938 7.723
-1.624 0.938 7.723
0.000 -1.876 7.723
Zr Si Se
1 2 1
Cartesian
0.000 0.000 0.000 Zr
0.000 0.000 5.644 Si
0.000 0.000 17.527 Si
0.000 0.000 11.585 Se

(5)
Sm2Se3 | Alexandria | SCAN | PBEsol geometry; ρ = 7.3 g/cm3; raw formation energy = -2117 meV/atom
1.0
-4.343 4.343 13.040
4.343 -4.343 13.040
4.343 4.343 -13.040
Sm Se
16 24
Cartesian
5.495 2.233 -5.476 Sm
0.000 0.000 4.351 Sm
2.233 1.152 1.044 Sm
3.192 -2.111 11.996 Sm
2.172 3.308 -3.260 Sm
5.379 2.172 3.260 Sm
2.172 1.035 9.780 Sm
-1.152 2.111 7.564 Sm
2.233 3.192 5.476 Sm
0.000 4.343 2.169 Sm
1.152 6.454 -1.044 Sm
0.000 0.000 21.729 Sm
2.111 1.152 18.516 Sm
-1.035 2.172 16.300 Sm
2.111 3.192 14.084 Sm
0.000 4.343 10.871 Sm
1.506 0.642 -1.754 Se
5.892 -0.646 3.833 Se
3.698 -1.549 9.207 Se
2.835 3.647 -6.114 Se
5.039 1.509 0.406 Se
4.989 2.795 -2.687 Se
2.795 0.646 3.833 Se
3.702 -2.837 14.794 Se
1.509 0.696 6.926 Se
1.509 3.647 -0.406 Se
-0.642 2.837 4.766 Se
2.795 3.698 2.687 Se
4.989 1.549 9.207 Se
5.039 2.835 6.114 Se
2.835 0.696 12.634 Se
-0.646 1.549 10.353 Se
1.549 0.646 15.727 Se
1.506 3.702 8.274 Se
-0.696 2.835 13.446 Se
0.642 5.850 4.766 Se
2.837 3.702 11.286 Se
-1.506 4.985 8.274 Se
0.642 7.181 1.754 Se
-0.696 1.509 19.154 Se

(6)
SmSe2 | Alexandria | SCAN | PBEsol geometry; ρ = 7.4 g/cm3; raw formation energy = -1805 meV/atom
1.0
4.066 0.000 0.000
0.000 4.066 0.000
0.000 0.000 8.356
Sm Se
2 4
Cartesian
1.017 1.017 1.898 Sm
3.050 3.050 6.458 Sm
1.017 1.017 7.255 Se
1.017 3.050 4.178 Se
3.050 1.017 4.178 Se
3.050 3.050 1.101 Se

(7)
SmSe | Alexandria | SCAN | PBEsol geometry; ρ = 7.8 g/cm3; raw formation energy = -2025 meV/atom
1.0
0.000 2.905 2.905
2.905 0.000 2.905
2.905 2.905 0.000
Sm Se
1 1
Cartesian
0.000 0.000 0.000 Sm
2.905 2.905 2.905 Se

(8)
Sm2Se3 | Alexandria | SCAN | PBEsol geometry; ρ = 7.2 g/cm3; raw formation energy = -2145 meV/atom
1.0
11.248 0.000 0.000
0.000 4.068 0.000
0.000 0.000 10.871
Sm Se
8 12
Cartesian
0.142 1.017 2.030 Sm
2.188 1.017 5.445 Sm
3.436 3.051 0.009 Sm
5.482 3.051 7.466 Sm
5.766 1.017 3.406 Sm
7.812 1.017 10.862 Sm
9.060 3.051 5.426 Sm
11.106 3.051 8.841 Sm
0.498 3.051 4.084 Se
1.361 1.017 10.251 Se
2.568 3.051 7.616 Se
3.056 1.017 2.181 Se
4.263 3.051 4.815 Se
5.126 1.017 9.520 Se
6.122 3.051 1.352 Se
6.985 1.017 6.056 Se
8.192 3.051 8.690 Se
8.680 1.017 3.255 Se
9.887 3.051 0.621 Se
10.750 1.017 6.787 Se

(9)
SmYSe2 | Alexandria | SCAN | PBEsol geometry; ρ = 6.9 g/cm3; raw formation energy = -2008 meV/atom
1.0
2.018 1.165 6.732
-2.018 1.165 6.732
0.000 -2.330 6.732
Sm Y Se
1 1 2
Cartesian
0.000 0.000 0.000 Sm
0.000 0.000 10.098 Y
0.000 0.000 4.993 Se
0.000 0.000 15.203 Se

(10)
SmY4Se5 | Alexandria | SCAN | PBEsol geometry; ρ = 6.4 g/cm3; raw formation energy = -1996 meV/atom
1.0
2.014 1.163 16.576
-2.014 1.163 16.576
0.000 -2.326 16.576
Sm Y Se
1 4 5
Cartesian
0.000 0.000 0.000 Sm
0.000 0.000 9.924 Y
0.000 0.000 19.929 Y
0.000 0.000 29.799 Y
0.000 0.000 39.804 Y
0.000 0.000 5.005 Se
0.000 0.000 14.840 Se
0.000 0.000 24.864 Se
0.000 0.000 34.889 Se
0.000 0.000 44.724 Se

(11)
Sm2ZrSe5 | Alexandria | SCAN | PBEsol geometry; ρ = 7.1 g/cm3; raw formation energy = -1915 meV/atom
1.0
11.990 0.000 0.000
0.000 8.145 0.000
0.000 0.000 7.578
Sm Zr Se
8 4 20
Cartesian
2.135 0.029 0.234 Sm
2.135 4.043 0.234 Sm
3.860 4.102 4.023 Sm
3.860 8.116 4.023 Sm
8.129 0.029 3.555 Sm
8.129 4.043 3.555 Sm
9.855 4.102 7.344 Sm
9.855 8.116 7.344 Sm
0.095 6.109 4.396 Zr
5.900 2.036 0.607 Zr
6.090 6.109 6.971 Zr
11.894 2.036 3.182 Zr
0.045 6.109 7.199 Se
1.070 0.327 5.045 Se
1.070 3.746 5.045 Se
2.184 6.109 2.540 Se
2.509 2.036 2.393 Se
3.486 6.109 6.182 Se
3.811 2.036 6.329 Se
4.925 4.399 1.256 Se
4.925 7.818 1.256 Se
5.949 2.036 3.410 Se
6.040 6.109 4.168 Se
7.065 0.327 6.323 Se
7.065 3.746 6.323 Se
8.178 6.109 1.249 Se
8.504 2.036 1.396 Se
9.480 6.109 5.185 Se
9.806 2.036 5.038 Se
10.919 4.399 2.533 Se
10.919 7.818 2.533 Se
11.944 2.036 0.379 Se

(12)
SnSe | Alexandria | SCAN | PBEsol geometry; ρ = 6.4 g/cm3; raw formation energy = -386 meV/atom
1.0
11.409 0.000 0.000
0.000 4.150 0.000
0.000 0.000 4.349
Sn Se
4 4
Cartesian
1.341 1.038 0.403 Sn
4.363 3.113 2.578 Sn
7.046 1.038 1.772 Sn
10.067 3.113 3.946 Sn
1.626 3.113 2.274 Se
4.078 1.038 0.100 Se
7.330 3.113 4.250 Se
9.783 1.038 2.075 Se

Please write out number 7 again, unchanged.
SmSe | Alexandria | SCAN | PBEsol geometry; ρ = 7.8 g/cm3; raw formation energy = -2025 meV/atom
1.0
0.000 2.905 2.905
2.905 0.000 2.905
2.905 2.905 0.000
Sm Se
1 1
Cartesian
0.000 0.000 0.000 Sm
2.905 2.905 2.905 Se

> Which of these has the highest raw formation energy?

number 1